VASP calculation (PBE-GGA) on crystalline Ca2ScCo at its relaxed geometry.

Results
Raw total energy (eV/atom): -4.330
Excess energy over the best structure of this formula in the dataset (eV per atom): 0.000
Formation enthalpy at 0 K (meV per atom): 30

Lattice parameters (Å, degrees): 3.3948 3.3948 9.0142 90.00 90.00 90.00
Last column: nearest neighbours and their distance in Å.
Space group P4mm (No. 99)
One atom of each set of equivalent atoms:
Ca (0.0000, 0.0000, 0.0000) (multiplicity 1)  4 Ca 3.39, 4 Sc 3.62
Ca (0.5000, 0.5000, 0.3560) (multiplicity 1)  4 Co 3.09, 1 Sc 3.10, 4 Ca 3.39
Sc (0.5000, 0.5000, 0.7000) (multiplicity 1)  4 Co 2.67
Co (0.0000, 0.0000, 0.5711) (multiplicity 1)  4 Sc 2.67